1.
Below is a geometry-optimized GdErAgBi structure, with properties calculated at the PBE level.

```
GdErAgBi
1.0
-2.8111 -4.4910 0.4484
1.2683 -3.5689 3.7318
-3.2021 -0.7257 4.1823
Gd Bi Ag Er
1 1 1 1
direct
0.0000 0.0000 0.0000
0.2500 0.2500 0.2500
0.7500 0.7500 0.7500
0.5000 0.5000 0.5000
```

Results
Electronic total energy   -27.1 eV for the cell shown
Density of states at the Fermi level   4.67 states/eV per cell
Calculated density   10.02 Mg/m³


2.
Below is a geometry-optimized BH5I2 structure, with properties calculated at the PBE level.

```
BH5I2
1.0
4.7471 -0.0175 0.0014
0.0140 4.3606 -0.1875
-2.3635 -2.5147 8.1924
B H I
1 5 2
direct
0.9763 0.9188 0.9337
0.9289 0.2325 0.9571
0.0072 0.2159 0.0525
0.8052 0.7893 0.9780
0.2331 0.8799 0.9696
0.8816 0.9226 0.7935
0.2226 0.6593 0.4352
0.7222 0.1588 0.4345
```

Results
Electronic total energy   -26.1 eV for the cell shown
Density of states at the Fermi level   1.27 states/eV per cell
Calculated density   2.68 Mg/m³


3.
Below is a geometry-optimized Pm5PrHo2 structure, with properties calculated at the PBE level.

```
Pm5PrHo2
1.0
-7.0902 6.6514 2.5409
-3.6559 -1.9645 -5.0593
2.8525 -7.4675 7.6391
Pm Pr Ho
10 2 4
direct
0.4986 0.4457 0.8088
0.9466 0.7500 0.0000
0.0534 0.2500 0.0000
0.8897 0.6183 0.6019
0.1103 0.3817 0.3981
0.7122 0.1183 0.6019
0.2878 0.8817 0.3981
0.5014 0.5543 0.1912
0.3102 0.9457 0.8088
0.6898 0.0543 0.1912
0.0000 0.0000 0.5000
0.5000 0.5000 0.5000
0.1777 0.4698 0.8469
0.6692 0.9698 0.8469
0.8223 0.5302 0.1531
0.3308 0.0302 0.1531
```

Results
Electronic total energy   -72.9 eV for the cell shown
Density of states at the Fermi level   26.09 states/eV per cell
Energy relative to the lowest polymorph listed for this composition   141 meV/atom
Calculated density   7.25 Mg/m³


4.
Below is a geometry-optimized Tb3Tm2Mg8 structure, with properties calculated at the PBE level.

```
Tb3Tm2Mg8
1.0
5.8215 0.0000 0.0000
2.9108 5.0416 0.0000
2.9108 1.6805 12.3181
Tb Tm Mg
3 2 8
direct
0.0000 0.0000 0.0000
0.8168 0.8168 0.5496
0.1832 0.1832 0.4504
0.6404 0.6404 0.0788
0.3596 0.3596 0.9212
0.7249 0.7249 0.8253
0.2751 0.2751 0.1747
0.2303 0.7312 0.3073
0.7312 0.2303 0.3073
0.7312 0.7312 0.3073
0.2688 0.7697 0.6927
0.7697 0.2688 0.6927
0.2688 0.2688 0.6927
```

Results
Electronic total energy   -33.9 eV for the cell shown
Density of states at the Fermi level   14.21 states/eV per cell
Calculated density   4.63 Mg/m³


Please write out number 2 again, unchanged.
Below is a geometry-optimized BH5I2 structure, with properties calculated at the PBE level.

```
BH5I2
1.0
4.7471 -0.0175 0.0014
0.0140 4.3606 -0.1875
-2.3635 -2.5147 8.1924
B H I
1 5 2
direct
0.9763 0.9188 0.9337
0.9289 0.2325 0.9571
0.0072 0.2159 0.0525
0.8052 0.7893 0.9780
0.2331 0.8799 0.9696
0.8816 0.9226 0.7935
0.2226 0.6593 0.4352
0.7222 0.1588 0.4345
```

Results
Electronic total energy   -26.1 eV for the cell shown
Density of states at the Fermi level   1.27 states/eV per cell
Calculated density   2.68 Mg/m³